No. 1
3
Lattice="0.000 4.058 4.058 4.058 0.000 4.058 4.058 4.058 0.000" Properties=species:S:1:pos:R:3 comment="RbLiHo (PBE, optimized geometry)" spacegroup="F-43m, No. 216" de_polymorph_mev_per_atom=324.5 e_tot_ev_per_atom=-1.31 m_tot_mub_per_atom=0.01 pbc="T T T"
Ho 2.029 2.029 2.029
Li 6.088 6.088 6.088
Rb 0.000 0.000 0.000

No. 2
6
Lattice="-4.643 -0.373 -0.151 -0.330 1.057 7.561 -0.601 5.260 5.510" Properties=species:S:1:pos:R:3 comment="YTmTl4 (PBE, optimized geometry)" spacegroup="Amm2, No. 38" e_tot_ev_per_atom=-3.65 m_tot_mub_per_atom=0.00 pbc="T T T"
Tl -0.466 3.165 6.550
Tl -2.622 1.854 4.146
Tl -2.323 -0.178 -0.058
Tl -2.950 4.082 8.756
Y -0.786 5.334 11.036
Tm -0.144 0.977 2.022

No. 3
3
Lattice="0.000 4.013 4.013 4.013 0.000 4.013 4.013 4.013 0.000" Properties=species:S:1:pos:R:3 comment="KGdPa (PBE, optimized geometry)" spacegroup="F-43m, No. 216" de_polymorph_mev_per_atom=0.0 e_tot_ev_per_atom=-3.33 m_tot_mub_per_atom=1.42 pbc="T T T"
Gd 0.000 0.000 0.000
Pa 6.019 6.019 6.019
K 2.006 2.006 2.006